# Nd2Er2Tl5, relaxed, DFT PBE
# - calculated total energy (eV per atom) = -3.5507
# - formation energy from the elements (eV per atom) = -0.163
data_Nd2Er2Tl5
_chemical_formula_sum 'Nd4 Er4 Tl10'
_cell_length_a 7.254
_cell_length_b 9.831
_cell_length_c 9.776
_cell_angle_alpha 120.19
_cell_angle_beta 111.78
_cell_angle_gamma 90.00
_symmetry_space_group_name_H-M 'P 1'
_symmetry_Int_Tables_number 1
_symmetry_space_group_name_Hall 'P 1'
loop_
_atom_site_label
_atom_site_type_symbol
_atom_site_fract_x
_atom_site_fract_y
_atom_site_fract_z
_atom_site_occupancy
Tl1 Tl 0.848 0.319 0.085 1
Tl2 Tl 0.361 0.995 0.304 1
Tl3 Tl 0.952 0.596 0.500 1
Tl4 Tl 0.152 0.235 0.915 1
Tl5 Tl 0.556 0.191 0.696 1
Tl6 Tl 0.048 0.096 0.500 1
Tl7 Tl 0.263 0.735 0.915 1
Tl8 Tl 0.444 0.495 0.304 1
Tl9 Tl 0.737 0.819 0.085 1
Tl10 Tl 0.639 0.691 0.696 1
Nd1 Nd 0.336 0.935 0.744 1
Nd2 Nd 0.907 0.435 0.744 1
Nd3 Nd 0.093 0.692 0.256 1
Nd4 Nd 0.664 0.192 0.256 1
Er1 Er 0.000 0.998 0.000 1
Er2 Er 0.731 0.876 0.500 1
Er3 Er 0.269 0.376 0.500 1
Er4 Er 0.500 0.498 0.000 1

---

# Nd3Er2Tl2, relaxed, DFT PBE
# - calculated total energy (eV per atom) = -4.1277
# - energy above the most stable polymorph in this dataset (meV/atom) = 84
# - formation energy from the elements (eV per atom) = -0.105
data_Nd3Er2Tl2
_chemical_formula_sum 'Nd3 Er2 Tl2'
_cell_length_a 5.051
_cell_length_b 3.572
_cell_length_c 12.168
_cell_angle_alpha 90.00
_cell_angle_beta 78.02
_cell_angle_gamma 90.00
_symmetry_space_group_name_H-M 'P 1'
_symmetry_Int_Tables_number 1
_symmetry_space_group_name_Hall 'P 1'
loop_
_atom_site_label
_atom_site_type_symbol
_atom_site_fract_x
_atom_site_fract_y
_atom_site_fract_z
_atom_site_occupancy
Nd1 Nd 0.854 0.000 0.292 1
Nd2 Nd 0.146 0.000 0.708 1
Nd3 Nd 0.000 0.000 0.000 1
Tl1 Tl 0.573 0.500 0.854 1
Tl2 Tl 0.427 0.500 0.146 1
Er1 Er 0.287 0.500 0.426 1
Er2 Er 0.713 0.500 0.574 1

---

# Nd6ErTl3, relaxed, DFT PBE
# - calculated total energy (eV per atom) = -4.1253
# - energy above the most stable polymorph in this dataset (meV/atom) = 96
# - formation energy from the elements (eV per atom) = -0.098
data_Nd6ErTl3
_chemical_formula_sum 'Nd12 Er2 Tl6'
_cell_length_a 7.841
_cell_length_b 9.631
_cell_length_c 9.631
_cell_angle_alpha 112.07
_cell_angle_beta 90.00
_cell_angle_gamma 90.00
_symmetry_space_group_name_H-M 'P 1'
_symmetry_Int_Tables_number 1
_symmetry_space_group_name_Hall 'P 1'
loop_
_atom_site_label
_atom_site_type_symbol
_atom_site_fract_x
_atom_site_fract_y
_atom_site_fract_z
_atom_site_occupancy
Nd1 Nd 0.103 0.770 0.700 1
Nd2 Nd 0.653 0.299 0.701 1
Nd3 Nd 0.103 0.300 0.230 1
Nd4 Nd 0.603 0.230 0.300 1
Nd5 Nd 0.281 0.957 0.043 1
Nd6 Nd 0.289 0.086 0.460 1
Nd7 Nd 0.789 0.914 0.540 1
Nd8 Nd 0.153 0.701 0.299 1
Nd9 Nd 0.789 0.460 0.086 1
Nd10 Nd 0.603 0.700 0.770 1
Nd11 Nd 0.289 0.540 0.914 1
Nd12 Nd 0.781 0.043 0.957 1
Tl1 Tl 0.931 0.717 0.989 1
Tl2 Tl 0.931 0.011 0.283 1
Tl3 Tl 0.323 0.450 0.550 1
Tl4 Tl 0.431 0.989 0.717 1
Tl5 Tl 0.431 0.283 0.011 1
Tl6 Tl 0.823 0.550 0.450 1
Er1 Er 0.584 0.811 0.189 1
Er2 Er 0.084 0.189 0.811 1

---

# NdErTl, relaxed, DFT PBE
# - calculated total energy (eV per atom) = -4.1163
# - energy above the most stable polymorph in this dataset (meV/atom) = 38
# - formation energy from the elements (eV per atom) = -0.217
data_NdErTl
_chemical_formula_sum 'Nd1 Er1 Tl1'
_cell_length_a 3.650
_cell_length_b 3.650
_cell_length_c 7.302
_cell_angle_alpha 104.47
_cell_angle_beta 104.47
_cell_angle_gamma 90.00
_symmetry_space_group_name_H-M 'P 1'
_symmetry_Int_Tables_number 1
_symmetry_space_group_name_Hall 'P 1'
loop_
_atom_site_label
_atom_site_type_symbol
_atom_site_fract_x
_atom_site_fract_y
_atom_site_fract_z
_atom_site_occupancy
Tl1 Tl 0.622 0.622 0.245 1
Nd1 Nd 0.958 0.958 0.916 1
Er1 Er 0.270 0.270 0.540 1

---

# Nd4ErTl2, relaxed, DFT PBE
# - calculated total energy (eV per atom) = -3.9760
# - energy above the most stable polymorph in this dataset (meV/atom) = 155
# - formation energy from the elements (eV per atom) = 0.076
data_Nd4ErTl2
_chemical_formula_sum 'Nd4 Er1 Tl2'
_cell_length_a 6.333
_cell_length_b 6.334
_cell_length_c 6.285
_cell_angle_alpha 94.08
_cell_angle_beta 94.08
_cell_angle_gamma 114.44
_symmetry_space_group_name_H-M 'P 1'
_symmetry_Int_Tables_number 1
_symmetry_space_group_name_Hall 'P 1'
loop_
_atom_site_label
_atom_site_type_symbol
_atom_site_fract_x
_atom_site_fract_y
_atom_site_fract_z
_atom_site_occupancy
Nd1 Nd 0.794 0.206 0.500 1
Nd2 Nd 0.000 0.500 0.000 1
Nd3 Nd 0.500 0.000 0.000 1
Nd4 Nd 0.206 0.794 0.500 1
Er1 Er 0.000 0.000 0.000 1
Tl1 Tl 0.576 0.576 0.266 1
Tl2 Tl 0.424 0.424 0.734 1

---

# Nd12Er6Tl, relaxed, DFT PBE
# - calculated total energy (eV per atom) = -4.4995
# - formation energy from the elements (eV per atom) = 0.077
data_Nd12Er6Tl
_chemical_formula_sum 'Nd12 Er6 Tl1'
_cell_length_a 8.629
_cell_length_b 8.629
_cell_length_c 8.629
_cell_angle_alpha 88.60
_cell_angle_beta 88.60
_cell_angle_gamma 88.60
_symmetry_space_group_name_H-M 'P 1'
_symmetry_Int_Tables_number 1
_symmetry_space_group_name_Hall 'P 1'
loop_
_atom_site_label
_atom_site_type_symbol
_atom_site_fract_x
_atom_site_fract_y
_atom_site_fract_z
_atom_site_occupancy
Nd1 Nd 0.462 0.569 0.214 1
Nd2 Nd 0.538 0.431 0.786 1
Nd3 Nd 0.214 0.462 0.569 1
Nd4 Nd 0.365 0.016 0.179 1
Nd5 Nd 0.984 0.821 0.635 1
Nd6 Nd 0.179 0.365 0.016 1
Nd7 Nd 0.821 0.635 0.984 1
Nd8 Nd 0.016 0.179 0.365 1
Nd9 Nd 0.569 0.214 0.462 1
Nd10 Nd 0.431 0.786 0.538 1
Nd11 Nd 0.786 0.538 0.431 1
Nd12 Nd 0.635 0.984 0.821 1
Er1 Er 0.284 0.744 0.899 1
Er2 Er 0.101 0.716 0.256 1
Er3 Er 0.716 0.256 0.101 1
Er4 Er 0.744 0.899 0.284 1
Er5 Er 0.256 0.101 0.716 1
Er6 Er 0.899 0.284 0.744 1
Tl1 Tl 0.000 0.000 0.000 1

---

# NdErTl, relaxed, DFT PBE
# - calculated total energy (eV per atom) = -4.1547
# - energy above the most stable polymorph in this dataset (meV/atom) = 0
# - formation energy from the elements (eV per atom) = -0.256
data_NdErTl
_chemical_formula_sum 'Nd2 Er2 Tl2'
_cell_length_a 5.470
_cell_length_b 5.470
_cell_length_c 6.796
_cell_angle_alpha 90.00
_cell_angle_beta 90.00
_cell_angle_gamma 119.98
_symmetry_space_group_name_H-M 'P 1'
_symmetry_Int_Tables_number 1
_symmetry_space_group_name_Hall 'P 1'
loop_
_atom_site_label
_atom_site_type_symbol
_atom_site_fract_x
_atom_site_fract_y
_atom_site_fract_z
_atom_site_occupancy
Er1 Er 0.333 0.167 0.250 1
Er2 Er 0.667 0.833 0.750 1
Nd1 Nd 0.000 0.500 0.000 1
Nd2 Nd 0.000 0.500 0.500 1
Tl1 Tl 0.333 0.167 0.750 1
Tl2 Tl 0.667 0.833 0.250 1

---

# Nd4Er3Tl2, relaxed, DFT PBE
# - calculated total energy (eV per atom) = -4.2535
# - formation energy from the elements (eV per atom) = -0.088
data_Nd4Er3Tl2
_chemical_formula_sum 'Nd8 Er6 Tl4'
_cell_length_a 6.527
_cell_length_b 9.437
_cell_length_c 9.437
_cell_angle_alpha 93.61
_cell_angle_beta 86.53
_cell_angle_gamma 86.53
_symmetry_space_group_name_H-M 'P 1'
_symmetry_Int_Tables_number 1
_symmetry_space_group_name_Hall 'P 1'
loop_
_atom_site_label
_atom_site_type_symbol
_atom_site_fract_x
_atom_site_fract_y
_atom_site_fract_z
_atom_site_occupancy
Er1 Er 0.250 0.532 0.468 1
Er2 Er 0.750 0.468 0.532 1
Er3 Er 0.604 0.826 0.951 1
Er4 Er 0.396 0.174 0.049 1
Er5 Er 0.896 0.049 0.174 1
Er6 Er 0.104 0.951 0.826 1
Tl1 Tl 0.451 0.772 0.638 1
Tl2 Tl 0.049 0.362 0.228 1
Tl3 Tl 0.951 0.638 0.772 1
Tl4 Tl 0.549 0.228 0.362 1
Nd1 Nd 0.594 0.529 0.179 1
Nd2 Nd 0.413 0.895 0.317 1
Nd3 Nd 0.094 0.179 0.529 1
Nd4 Nd 0.587 0.105 0.683 1
Nd5 Nd 0.906 0.821 0.471 1
Nd6 Nd 0.087 0.683 0.105 1
Nd7 Nd 0.406 0.471 0.821 1
Nd8 Nd 0.913 0.317 0.895 1